Computed, not measured: a relaxed structure of Ag2SnF at the PBE level of DFT.

Computed properties:
Symmetry: No. 225
Uncorrected formation energy (eV per atom): -0.3284
Density (g cm⁻³): 7.93
ΔE to the lowest computed polymorph (meV per atom): 146

Geometry as POSCAR:
```
Ag2SnF
1.0
0.000 3.332 3.332
3.332 0.000 3.332
3.332 3.332 0.000
Ag Sn F
2 1 1
direct
0.250 0.250 0.250
0.750 0.750 0.750
0.000 0.000 0.000
0.500 0.500 0.500
```

---

Computed, not measured: a relaxed structure of Ca2Be4Si3Rh at the PBE level of DFT.

Computed properties:
Symmetry: No. 115
Uncorrected formation energy (eV per atom): -0.3418
Density (g cm⁻³): 3.41

Geometry as POSCAR:
```
Ca2Be4Si3Rh
1.0
3.862 0.000 0.000
0.000 3.862 0.000
0.000 0.000 9.907
Ca Be Si Rh
2 4 3 1
direct
0.000 0.500 0.245
0.500 0.000 0.755
0.000 0.000 0.000
0.000 0.500 0.632
0.500 0.000 0.368
0.500 0.500 0.000
0.000 0.500 0.869
0.500 0.000 0.131
0.500 0.500 0.500
0.000 0.000 0.500
```

---

Computed, not measured: a relaxed structure of SbTe2MoOs at the PBE level of DFT.

Computed properties:
Symmetry: No. 123
Uncorrected formation energy (eV per atom): 1.5473
Density (g cm⁻³): 7.85
ΔE to the lowest computed polymorph (meV per atom): 261

Geometry as POSCAR:
```
SbTe2MoOs
1.0
5.168 0.000 0.000
0.000 5.168 0.000
0.000 0.000 5.252
Sb Te Mo Os
1 2 1 1
direct
0.000 0.000 0.000
0.000 0.500 0.500
0.500 0.000 0.500
0.000 0.000 0.500
0.500 0.500 0.000
```

---

Computed, not measured: a relaxed structure of Li5Y3Br12 at the PBE level of DFT.

Computed properties:
Symmetry: No. 230
Uncorrected formation energy (eV per atom): -1.5102
Density (g cm⁻³): 3.96

Geometry as POSCAR:
```
Li5Y3Br12
1.0
-8.086 8.086 8.086
8.086 -8.086 8.086
8.086 8.086 -8.086
Li Y Br
20 12 48
direct
0.000 0.000 0.000
0.000 0.000 0.500
0.000 0.500 0.000
0.000 0.500 0.500
0.125 0.750 0.875
0.125 0.875 0.250
0.250 0.125 0.875
0.250 0.625 0.375
0.375 0.250 0.625
0.375 0.625 0.750
0.500 0.000 0.000
0.500 0.000 0.500
0.500 0.500 0.000
0.500 0.500 0.500
0.625 0.375 0.250
0.625 0.750 0.375
0.750 0.375 0.625
0.750 0.875 0.125
0.875 0.125 0.750
0.875 0.250 0.125
0.125 0.250 0.375
0.125 0.375 0.750
0.250 0.375 0.125
0.250 0.875 0.625
0.375 0.125 0.250
0.375 0.750 0.125
0.625 0.250 0.875
0.625 0.875 0.750
0.750 0.125 0.375
0.750 0.625 0.875
0.875 0.625 0.250
0.875 0.750 0.625
0.037 0.217 0.127
0.037 0.320 0.911
0.089 0.627 0.409
0.089 0.963 0.680
0.091 0.717 0.680
0.091 0.873 0.411
0.127 0.037 0.217
0.127 0.589 0.909
0.180 0.217 0.591
0.180 0.463 0.589
0.217 0.127 0.037
0.217 0.591 0.180
0.283 0.320 0.909
0.283 0.463 0.373
0.320 0.909 0.283
0.320 0.911 0.037
0.373 0.283 0.463
0.373 0.591 0.911
0.409 0.089 0.627
0.409 0.820 0.783
0.411 0.091 0.873
0.411 0.820 0.537
0.463 0.373 0.283
0.463 0.589 0.180
0.537 0.411 0.820
0.537 0.627 0.717
0.589 0.180 0.463
0.589 0.909 0.127
0.591 0.180 0.217
0.591 0.911 0.373
0.627 0.409 0.089
0.627 0.717 0.537
0.680 0.089 0.963
0.680 0.091 0.717
0.717 0.537 0.627
0.717 0.680 0.091
0.783 0.409 0.820
0.783 0.873 0.963
0.820 0.537 0.411
0.820 0.783 0.409
0.873 0.411 0.091
0.873 0.963 0.783
0.909 0.127 0.589
0.909 0.283 0.320
0.911 0.037 0.320
0.911 0.373 0.591
0.963 0.680 0.089
0.963 0.783 0.873
```